No. 1
# Tm8P3Se3N

A relaxed structure of Tm8P3Se3N (PBE-GGA, Alexandria).

The structure in CIF format:
```
data_Tm8P3Se3N
_chemical_formula_sum 'Tm8 P3 Se3 N1'
_cell_length_a 7.907
_cell_length_b 7.907
_cell_length_c 7.907
_cell_angle_alpha 58.75
_cell_angle_beta 58.75
_cell_angle_gamma 58.75
_symmetry_space_group_name_H-M 'P 1'
_symmetry_Int_Tables_number 1
_symmetry_space_group_name_Hall 'P 1'
loop_
_atom_site_label
_atom_site_type_symbol
_atom_site_fract_x
_atom_site_fract_y
_atom_site_fract_z
Tm1 Tm 0.242 0.242 0.242
Tm2 Tm 0.263 0.725 0.725
Tm3 Tm 0.275 0.275 0.737
Tm4 Tm 0.275 0.737 0.275
Tm5 Tm 0.725 0.263 0.725
Tm6 Tm 0.725 0.725 0.263
Tm7 Tm 0.737 0.275 0.275
Tm8 Tm 0.758 0.758 0.758
P1 P 0.000 0.000 0.500
P2 P 0.000 0.500 0.000
P3 P 0.500 0.000 0.000
Se1 Se 0.000 0.500 0.500
Se2 Se 0.500 0.000 0.500
Se3 Se 0.500 0.500 0.000
N1 N 0.500 0.500 0.500
```

Calculated values
- total magnetic moment (μB per formula unit) = 0.00
- ΔE_f (raw) (meV/atom) = -1529

No. 2
# Tm4PSe2N

A relaxed structure of Tm4PSe2N (PBE-GGA, Alexandria).

The structure in CIF format:
```
data_Tm4PSe2N
_chemical_formula_sum 'Tm4 P1 Se2 N1'
_cell_length_a 6.597
_cell_length_b 3.795
_cell_length_c 6.854
_cell_angle_alpha 90.00
_cell_angle_beta 108.62
_cell_angle_gamma 90.00
_symmetry_space_group_name_H-M 'P 1'
_symmetry_Int_Tables_number 1
_symmetry_space_group_name_Hall 'P 1'
loop_
_atom_site_label
_atom_site_type_symbol
_atom_site_fract_x
_atom_site_fract_y
_atom_site_fract_z
Tm1 Tm 0.218 0.000 0.206
Tm2 Tm 0.238 0.500 0.787
Tm3 Tm 0.762 0.500 0.213
Tm4 Tm 0.782 0.000 0.794
P1 P 0.500 0.000 0.000
Se1 Se 0.000 0.000 0.500
Se2 Se 0.500 0.500 0.500
N1 N 0.000 0.500 0.000
```

Calculated values
- total magnetic moment (μB per formula unit) = 0.00
- ΔE_f (raw) (meV/atom) = -1673

No. 3
# VPSeN2

A relaxed structure of VPSeN2 (PBE-GGA, Alexandria).

The structure in CIF format:
```
data_VPSeN2
_chemical_formula_sum 'V1 P1 Se1 N2'
_cell_length_a 3.729
_cell_length_b 3.729
_cell_length_c 5.385
_cell_angle_alpha 90.00
_cell_angle_beta 90.00
_cell_angle_gamma 90.00
_symmetry_space_group_name_H-M 'P 1'
_symmetry_Int_Tables_number 1
_symmetry_space_group_name_Hall 'P 1'
loop_
_atom_site_label
_atom_site_type_symbol
_atom_site_fract_x
_atom_site_fract_y
_atom_site_fract_z
V1 V 0.000 0.000 0.000
P1 P 0.500 0.500 0.500
Se1 Se 0.000 0.000 0.500
N1 N 0.000 0.500 0.000
N2 N 0.500 0.000 0.000
```

Calculated values
- total magnetic moment (μB per formula unit) = 0.37
- ΔE_f (raw) (meV/atom) = 608

No. 4
# VPSeN2

A relaxed structure of VPSeN2 (PBE-GGA, Alexandria).

The structure in CIF format:
```
data_VPSeN2
_chemical_formula_sum 'V1 P1 Se1 N2'
_cell_length_a 3.397
_cell_length_b 3.397
_cell_length_c 7.317
_cell_angle_alpha 90.00
_cell_angle_beta 90.00
_cell_angle_gamma 90.00
_symmetry_space_group_name_H-M 'P 1'
_symmetry_Int_Tables_number 1
_symmetry_space_group_name_Hall 'P 1'
loop_
_atom_site_label
_atom_site_type_symbol
_atom_site_fract_x
_atom_site_fract_y
_atom_site_fract_z
V1 V 0.000 0.000 0.000
P1 P 0.500 0.500 0.500
Se1 Se 0.500 0.500 0.000
N1 N 0.000 0.500 0.500
N2 N 0.500 0.000 0.500
```

Calculated values
- total magnetic moment (μB per formula unit) = 3.20
- ΔE_f (raw) (meV/atom) = 742

Please write out number 4 again, unchanged.
# VPSeN2

A relaxed structure of VPSeN2 (PBE-GGA, Alexandria).

The structure in CIF format:
```
data_VPSeN2
_chemical_formula_sum 'V1 P1 Se1 N2'
_cell_length_a 3.397
_cell_length_b 3.397
_cell_length_c 7.317
_cell_angle_alpha 90.00
_cell_angle_beta 90.00
_cell_angle_gamma 90.00
_symmetry_space_group_name_H-M 'P 1'
_symmetry_Int_Tables_number 1
_symmetry_space_group_name_Hall 'P 1'
loop_
_atom_site_label
_atom_site_type_symbol
_atom_site_fract_x
_atom_site_fract_y
_atom_site_fract_z
V1 V 0.000 0.000 0.000
P1 P 0.500 0.500 0.500
Se1 Se 0.500 0.500 0.000
N1 N 0.000 0.500 0.500
N2 N 0.500 0.000 0.500
```

Calculated values
- total magnetic moment (μB per formula unit) = 3.20
- ΔE_f (raw) (meV/atom) = 742